--- one ---
RbTe2PI: relaxed, PBE.

Values from the calculation:
Its space group is No. 123. The density of states at the Fermi level is 9.810 states/eV/f.u.

Cell lengths 7.3479, 7.3479, 6.9648 Å; angles 90.00, 90.00, 90.00 degrees
Atoms (fractional coordinates):
I 0.0000 0.0000 0.5000
P 0.5000 0.5000 0.5000
Te 0.0000 0.5000 0.0000
Te 0.5000 0.0000 0.0000
Rb 0.0000 0.0000 0.0000



--- two ---
RbTe2PI: relaxed, PBE.

Values from the calculation:
Its space group is No. 123. The density of states at the Fermi level is 4.037 states/eV/f.u.

Cell lengths 5.3606, 5.3606, 6.1418 Å; angles 90.00, 90.00, 90.00 degrees
Atoms (fractional coordinates):
I 0.0000 0.0000 0.5000
P 0.0000 0.0000 0.0000
Te 0.0000 0.5000 0.0000
Te 0.5000 0.0000 0.0000
Rb 0.5000 0.5000 0.5000



Winner for stability: two



--- one ---
RbTePI2: relaxed, PBE.

Values from the calculation:
Its space group is No. 123. The density of states at the Fermi level is 2.692 states/eV/f.u.

Cell lengths 5.7885, 5.7885, 5.3908 Å; angles 90.00, 90.00, 90.00 degrees
Atoms (fractional coordinates):
I 0.0000 0.5000 0.0000
I 0.5000 0.0000 0.0000
P 0.0000 0.0000 0.0000
Te 0.0000 0.0000 0.5000
Rb 0.5000 0.5000 0.5000



--- two ---
RbTePI2: relaxed, PBE.

Values from the calculation:
Its space group is No. 123. The density of states at the Fermi level is 12.214 states/eV/f.u.

Cell lengths 7.0808, 7.0808, 7.3727 Å; angles 90.00, 90.00, 90.00 degrees
Atoms (fractional coordinates):
I 0.0000 0.5000 0.0000
I 0.5000 0.0000 0.0000
P 0.5000 0.5000 0.5000
Te 0.0000 0.0000 0.5000
Rb 0.0000 0.0000 0.0000



Winner for stability: one



--- one ---
ReP2I2: relaxed, PBE.

Values from the calculation:
Its space group is No. 127. The density of states at the Fermi level is 4.709 states/eV/f.u.

Cell lengths 6.1071, 6.1071, 8.3604 Å; angles 90.00, 90.00, 90.00 degrees
Atoms (fractional coordinates):
I 0.1885 0.6885 0.5000
I 0.6885 0.8115 0.5000
I 0.8115 0.3115 0.5000
I 0.3115 0.1885 0.5000
Re 0.0000 0.0000 0.0000
Re 0.5000 0.5000 0.0000
P 0.3673 0.8673 0.0000
P 0.8673 0.6327 0.0000
P 0.6327 0.1327 0.0000
P 0.1327 0.3673 0.0000



--- two ---
ReP2I2: relaxed, PBE.

Values from the calculation:
Its space group is No. 139. The density of states at the Fermi level is 3.811 states/eV/f.u.

Cell lengths 5.9401, 5.9401, 6.0268 Å; angles 60.48, 60.48, 90.00 degrees
Atoms (fractional coordinates):
I 0.7500 0.2500 0.5000
I 0.2500 0.7500 0.5000
Re 0.0000 0.0000 0.0000
P 0.2707 0.2707 0.4585
P 0.7293 0.7293 0.5415



Winner for stability: one



--- one ---
RePI2: relaxed, PBE.

Values from the calculation:
Its space group is No. 122. The density of states at the Fermi level is 0.820 states/eV/f.u.

Cell lengths 10.1171, 10.1171, 7.5047 Å; angles 47.62, 47.62, 90.00 degrees
Atoms (fractional coordinates):
I 0.7730 0.1250 0.2500
I 0.9770 0.6250 0.2500
I 0.3750 0.2270 0.7500
I 0.8750 0.0230 0.7500
Re 0.0000 0.0000 0.0000
Re 0.7500 0.2500 0.5000
P 0.5000 0.5000 0.0000
P 0.2500 0.7500 0.5000



--- two ---
RePI2: relaxed, PBE.

Values from the calculation:
Its space group is No. 225. The density of states at the Fermi level is 4.097 states/eV/f.u.

Cell lengths 4.8857, 4.8857, 4.8857 Å; angles 60.00, 60.00, 60.00 degrees
Atoms (fractional coordinates):
I 0.2500 0.2500 0.2500
I 0.7500 0.7500 0.7500
Re 0.5000 0.5000 0.5000
P 0.0000 0.0000 0.0000



Winner for stability: one



--- one ---
ReTePI2: relaxed, PBE.

Values from the calculation:
Its space group is No. 123. The density of states at the Fermi level is 1.721 states/eV/f.u.

Cell lengths 5.3354, 5.3354, 5.5431 Å; angles 90.00, 90.00, 90.00 degrees
Atoms (fractional coordinates):
I 0.0000 0.5000 0.0000
I 0.5000 0.0000 0.0000
Re 0.5000 0.5000 0.5000
Te 0.0000 0.0000 0.5000
P 0.0000 0.0000 0.0000



--- two ---
ReTePI2: relaxed, PBE.

Values from the calculation:
Its space group is No. 123. The density of states at the Fermi level is 7.084 states/eV/f.u.

Cell lengths 5.4083, 5.4083, 5.1222 Å; angles 90.00, 90.00, 90.00 degrees
Atoms (fractional coordinates):
I 0.0000 0.5000 0.0000
I 0.5000 0.0000 0.0000
Re 0.0000 0.0000 0.0000
Te 0.0000 0.0000 0.5000
P 0.5000 0.5000 0.5000



Winner for stability: two



--- one ---
PRhI2: relaxed, PBE.

Values from the calculation:
Its space group is No. 225. The density of states at the Fermi level is 3.557 states/eV/f.u.

Cell lengths 4.9711, 4.9711, 4.9711 Å; angles 60.00, 60.00, 60.00 degrees
Atoms (fractional coordinates):
I 0.2500 0.2500 0.2500
I 0.7500 0.7500 0.7500
P 0.0000 0.0000 0.0000
Rh 0.5000 0.5000 0.5000



--- two ---
PRhI2: relaxed, PBE.

Values from the calculation:
Its space group is No. 122. The density of states at the Fermi level is 4.274 states/eV/f.u.

Cell lengths 7.2313, 7.2313, 6.4885 Å; angles 56.13, 56.13, 90.00 degrees
Atoms (fractional coordinates):
I 0.6516 0.1250 0.2500
I 0.0984 0.6250 0.2500
I 0.3750 0.3484 0.7500
I 0.8750 0.9016 0.7500
P 0.5000 0.5000 0.0000
P 0.2500 0.7500 0.5000
Rh 0.0000 0.0000 0.0000
Rh 0.7500 0.2500 0.5000



Winner for stability: two



--- one ---
P2RhI: relaxed, PBE.

Values from the calculation:
Its space group is No. 225. The density of states at the Fermi level is 2.500 states/eV/f.u.

Cell lengths 4.6289, 4.6289, 4.6289 Å; angles 60.00, 60.00, 60.00 degrees
Atoms (fractional coordinates):
I 0.5000 0.5000 0.5000
P 0.2500 0.2500 0.2500
P 0.7500 0.7500 0.7500
Rh 0.0000 0.0000 0.0000



--- two ---
P2RhI: relaxed, PBE.

Values from the calculation:
Its space group is No. 122. The density of states at the Fermi level is 1.282 states/eV/f.u.

Cell lengths 6.3494, 6.3494, 6.7304 Å; angles 61.86, 61.86, 90.00 degrees
Atoms (fractional coordinates):
I 0.0000 0.0000 0.0000
I 0.7500 0.2500 0.5000
P 0.5211 0.1250 0.2500
P 0.2289 0.6250 0.2500
P 0.3750 0.4789 0.7500
P 0.8750 0.7711 0.7500
Rh 0.5000 0.5000 0.0000
Rh 0.2500 0.7500 0.5000



Winner for stability: two



--- one ---
PRh2I: relaxed, PBE.

Values from the calculation:
Its space group is No. 225. The density of states at the Fermi level is 3.712 states/eV/f.u.

Cell lengths 4.5542, 4.5542, 4.5542 Å; angles 60.00, 60.00, 60.00 degrees
Atoms (fractional coordinates):
I 0.5000 0.5000 0.5000
P 0.0000 0.0000 0.0000
Rh 0.2500 0.2500 0.2500
Rh 0.7500 0.7500 0.7500



--- two ---
PRh2I: relaxed, PBE.

Values from the calculation:
Its space group is No. 122. The density of states at the Fermi level is 1.064 states/eV/f.u.

Cell lengths 5.1718, 5.1718, 7.3962 Å; angles 69.54, 69.54, 90.00 degrees
Atoms (fractional coordinates):
I 0.0000 0.0000 0.0000
I 0.7500 0.2500 0.5000
P 0.5000 0.5000 0.0000
P 0.2500 0.7500 0.5000
Rh 0.5446 0.1250 0.2500
Rh 0.2054 0.6250 0.2500
Rh 0.3750 0.4554 0.7500
Rh 0.8750 0.7946 0.7500



Winner for stability: two